(1)
DFT (GGA-PBEsol) results for crystalline Be2ZnPb at its relaxed geometry.

a = 3.8756 Å, b = 3.8756 Å, c = 8.1971 Å
α = 90.00°, β = 90.00°, γ = 90.00°
Sites, in units of the cell vectors:
Be  0.0000  0.0000  0.0000
Be  0.0000  0.5000  0.2500
Be  0.5000  0.0000  0.7500
Be  0.5000  0.5000  0.5000
Zn  0.0000  0.5000  0.7500
Zn  0.5000  0.0000  0.2500
Pb  0.0000  0.0000  0.5000
Pb  0.5000  0.5000  0.0000

Energy relative to the lowest polymorph listed for this composition (eV per atom): 0.184
Spin magnetization (μB/cell): 0.00
E_tot (eV for the cell shown): -21.86
Formation enthalpy at 0 K (kJ per mole of atoms): 63.88

(2)
DFT (GGA-PBEsol) results for crystalline BeZn2Pb at its relaxed geometry.

a = 3.6831 Å, b = 4.1212 Å, c = 4.8448 Å
α = 90.00°, β = 90.00°, γ = 90.00°
Sites, in units of the cell vectors:
Be  0.0000  0.0000  0.0000
Zn  0.0000  0.5000  0.2458
Zn  0.0000  0.5000  0.7542
Pb  0.5000  0.0000  0.5000

Energy relative to the lowest polymorph listed for this composition (eV per atom): 0.000
Spin magnetization (μB/cell): 0.00
E_tot (eV for the cell shown): -9.74
Formation enthalpy at 0 K (kJ per mole of atoms): 34.43

(3)
DFT (GGA-PBEsol) results for crystalline BeZn2Pb at its relaxed geometry.

a = 6.5905 Å, b = 6.5905 Å, c = 6.5905 Å
α = 90.00°, β = 90.00°, γ = 90.00°
Sites, in units of the cell vectors:
Be  0.0000  0.0000  0.0000
Be  0.0000  0.5000  0.5000
Be  0.5000  0.0000  0.5000
Be  0.5000  0.5000  0.0000
Zn  0.2500  0.2500  0.2500
Zn  0.2500  0.2500  0.7500
Zn  0.2500  0.7500  0.2500
Zn  0.2500  0.7500  0.7500
Zn  0.7500  0.2500  0.2500
Zn  0.7500  0.2500  0.7500
Zn  0.7500  0.7500  0.2500
Zn  0.7500  0.7500  0.7500
Pb  0.0000  0.0000  0.5000
Pb  0.0000  0.5000  0.0000
Pb  0.5000  0.0000  0.0000
Pb  0.5000  0.5000  0.5000

Energy relative to the lowest polymorph listed for this composition (eV per atom): 0.222
Spin magnetization (μB/cell): 0.00
E_tot (eV for the cell shown): -35.39
Formation enthalpy at 0 K (kJ per mole of atoms): 55.82

(4)
DFT (GGA-PBEsol) results for crystalline BeZn2Pb at its relaxed geometry.

a = 3.0654 Å, b = 3.3148 Å, c = 6.8007 Å
α = 90.00°, β = 90.00°, γ = 90.00°
Sites, in units of the cell vectors:
Be  0.0000  0.0000  0.0000
Zn  0.0000  0.0000  0.6401
Zn  0.5000  0.5000  0.8557
Pb  0.5000  0.5000  0.3092

Energy relative to the lowest polymorph listed for this composition (eV per atom): 0.017
Spin magnetization (μB/cell): 0.00
E_tot (eV for the cell shown): -9.67
Formation enthalpy at 0 K (kJ per mole of atoms): 36.04

(5)
DFT (GGA-PBEsol) results for crystalline Be2ZnPb at its relaxed geometry.

a = 6.3967 Å, b = 6.3967 Å, c = 6.3967 Å
α = 90.00°, β = 90.00°, γ = 90.00°
Sites, in units of the cell vectors:
Be  0.0000  0.0000  0.0000
Be  0.0000  0.5000  0.5000
Be  0.2500  0.2500  0.2500
Be  0.2500  0.7500  0.7500
Be  0.5000  0.0000  0.5000
Be  0.5000  0.5000  0.0000
Be  0.7500  0.2500  0.7500
Be  0.7500  0.7500  0.2500
Zn  0.0000  0.0000  0.5000
Zn  0.0000  0.5000  0.0000
Zn  0.5000  0.0000  0.0000
Zn  0.5000  0.5000  0.5000
Pb  0.2500  0.2500  0.7500
Pb  0.2500  0.7500  0.2500
Pb  0.7500  0.2500  0.2500
Pb  0.7500  0.7500  0.7500

Energy relative to the lowest polymorph listed for this composition (eV per atom): 0.322
Spin magnetization (μB/cell): 0.00
E_tot (eV for the cell shown): -41.52
Formation enthalpy at 0 K (kJ per mole of atoms): 77.22

(6)
DFT (GGA-PBEsol) results for crystalline Be2ZnPb at its relaxed geometry.

a = 5.5131 Å, b = 8.3845 Å, c = 3.3831 Å
α = 90.00°, β = 121.17°, γ = 90.00°
Sites, in units of the cell vectors:
Be  0.2500  0.2500  0.0000
Be  0.2500  0.7500  0.0000
Be  0.7500  0.2500  0.0000
Be  0.7500  0.7500  0.0000
Zn  0.0000  0.0000  0.0000
Zn  0.5000  0.5000  0.0000
Pb  0.0000  0.5000  0.0000
Pb  0.5000  0.0000  0.0000

Energy relative to the lowest polymorph listed for this composition (eV per atom): 0.247
Spin magnetization (μB/cell): 0.00
E_tot (eV for the cell shown): -21.36
Formation enthalpy at 0 K (kJ per mole of atoms): 69.95

(7)
DFT (GGA-PBEsol) results for crystalline Be2ZnPb at its relaxed geometry.

a = 4.1996 Å, b = 4.1996 Å, c = 15.6164 Å
α = 90.00°, β = 90.00°, γ = 90.00°
Sites, in units of the cell vectors:
Be  0.0000  0.0000  0.0000
Be  0.0000  0.5000  0.0000
Be  0.2500  0.2500  0.7500
Be  0.2500  0.7500  0.2500
Be  0.5000  0.0000  0.5000
Be  0.5000  0.5000  0.5000
Be  0.7500  0.2500  0.7500
Be  0.7500  0.7500  0.2500
Zn  0.0000  0.2500  0.8750
Zn  0.0000  0.7500  0.1250
Zn  0.5000  0.2500  0.6250
Zn  0.5000  0.7500  0.3750
Pb  0.0000  0.2500  0.3750
Pb  0.0000  0.7500  0.6250
Pb  0.5000  0.2500  0.1250
Pb  0.5000  0.7500  0.8750

Energy relative to the lowest polymorph listed for this composition (eV per atom): 0.000
Spin magnetization (μB/cell): 0.00
E_tot (eV for the cell shown): -46.68
Formation enthalpy at 0 K (kJ per mole of atoms): 46.12

(8)
DFT (GGA-PBEsol) results for crystalline Be2ZnPb at its relaxed geometry.

a = 3.0944 Å, b = 3.0944 Å, c = 6.6368 Å
α = 90.00°, β = 90.00°, γ = 90.00°
Sites, in units of the cell vectors:
Be  0.0000  0.0000  0.1699
Be  0.0000  0.0000  0.8301
Zn  0.5000  0.5000  0.0000
Pb  0.5000  0.5000  0.5000

Energy relative to the lowest polymorph listed for this composition (eV per atom): 0.085
Spin magnetization (μB/cell): 0.00
E_tot (eV for the cell shown): -11.33
Formation enthalpy at 0 K (kJ per mole of atoms): 54.35

(9)
DFT (GGA-PBEsol) results for crystalline Be4ZnPb at its relaxed geometry.

a = 4.7620 Å, b = 4.7620 Å, c = 4.7620 Å
α = 60.00°, β = 60.00°, γ = 60.00°
Sites, in units of the cell vectors:
Be  0.1213  0.1213  0.1213
Be  0.1213  0.1213  0.6360
Be  0.1213  0.6360  0.1213
Be  0.6360  0.1213  0.1213
Zn  0.7500  0.7500  0.7500
Pb  0.5000  0.5000  0.5000

Spin magnetization (μB/cell): 0.00
E_tot (eV for the cell shown): -18.71
Formation enthalpy at 0 K (kJ per mole of atoms): 46.17

(10)
DFT (GGA-PBEsol) results for crystalline Zr2BePb at its relaxed geometry.

a = 3.1638 Å, b = 3.9957 Å, c = 6.0952 Å
α = 90.00°, β = 90.78°, γ = 90.00°
Sites, in units of the cell vectors:
Zr  0.0058  0.0000  0.2707
Zr  0.9942  0.0000  0.7293
Be  0.5000  0.5000  0.5000
Pb  0.5000  0.5000  0.0000

Energy relative to the lowest polymorph listed for this composition (eV per atom): 0.014
Spin magnetization (μB/cell): 0.00
E_tot (eV for the cell shown): -26.29
Formation enthalpy at 0 K (kJ per mole of atoms): -2.68

(11)
DFT (GGA-PBEsol) results for crystalline Zr2BePb at its relaxed geometry.

a = 3.3531 Å, b = 3.9909 Å, c = 6.1201 Å
α = 90.00°, β = 90.00°, γ = 90.00°
Sites, in units of the cell vectors:
Zr  0.0000  0.0000  0.0000
Zr  0.5000  0.5000  0.2506
Be  0.0000  0.0000  0.4439
Pb  0.5000  0.5000  0.7235

Energy relative to the lowest polymorph listed for this composition (eV per atom): 0.205
Spin magnetization (μB/cell): 0.00
E_tot (eV for the cell shown): -25.52
Formation enthalpy at 0 K (kJ per mole of atoms): 15.76

(12)
DFT (GGA-PBEsol) results for crystalline Zr2Be2Pb at its relaxed geometry.

a = 6.5231 Å, b = 6.5231 Å, c = 3.9005 Å
α = 90.00°, β = 90.00°, γ = 90.00°
Sites, in units of the cell vectors:
Zr  0.1694  0.3306  0.0000
Zr  0.3306  0.8306  0.0000
Zr  0.6694  0.1694  0.0000
Zr  0.8306  0.6694  0.0000
Be  0.1133  0.6133  0.5000
Be  0.3867  0.1133  0.5000
Be  0.6133  0.8867  0.5000
Be  0.8867  0.3867  0.5000
Pb  0.0000  0.0000  0.5000
Pb  0.5000  0.5000  0.5000

Spin magnetization (μB/cell): 0.00
E_tot (eV for the cell shown): -62.57
Formation enthalpy at 0 K (kJ per mole of atoms): -21.33

(13)
DFT (GGA-PBEsol) results for crystalline Zr2BePb at its relaxed geometry.

a = 4.2495 Å, b = 4.2495 Å, c = 4.2633 Å
α = 90.00°, β = 90.00°, γ = 90.00°
Sites, in units of the cell vectors:
Zr  0.0000  0.5000  0.0000
Zr  0.5000  0.0000  0.0000
Be  0.0000  0.0000  0.5000
Pb  0.5000  0.5000  0.5000

Energy relative to the lowest polymorph listed for this composition (eV per atom): 0.000
Spin magnetization (μB/cell): 0.00
E_tot (eV for the cell shown): -26.35
Formation enthalpy at 0 K (kJ per mole of atoms): -4.03

(14)
DFT (GGA-PBEsol) results for crystalline ZrBePb at its relaxed geometry.

a = 4.0774 Å, b = 4.0774 Å, c = 3.8453 Å
α = 90.00°, β = 90.00°, γ = 120.00°
Sites, in units of the cell vectors:
Zr  0.0000  0.0000  0.0000
Be  0.3333  0.6667  0.6053
Pb  0.6667  0.3333  0.4804

Spin magnetization (μB/cell): 0.00
E_tot (eV for the cell shown): -17.15
Formation enthalpy at 0 K (kJ per mole of atoms): -1.85

(15)
DFT (GGA-PBEsol) results for crystalline Zr2BePb at its relaxed geometry.

a = 3.6972 Å, b = 4.4514 Å, c = 9.5098 Å
α = 90.00°, β = 90.00°, γ = 90.00°
Sites, in units of the cell vectors:
Zr  0.0000  0.0000  0.0000
Zr  0.0000  0.5000  0.2322
Zr  0.5000  0.0000  0.7322
Zr  0.5000  0.5000  0.5000
Be  0.0000  0.5000  0.7446
Be  0.5000  0.0000  0.2446
Pb  0.0000  0.0000  0.4571
Pb  0.5000  0.5000  0.9571

Energy relative to the lowest polymorph listed for this composition (eV per atom): 0.055
Spin magnetization (μB/cell): 0.00
E_tot (eV for the cell shown): -52.25
Formation enthalpy at 0 K (kJ per mole of atoms): 1.27

(16)
DFT (GGA-PBEsol) results for crystalline Be5Pd at its relaxed geometry.

a = 4.2056 Å, b = 4.2056 Å, c = 4.2056 Å
α = 60.00°, β = 60.00°, γ = 60.00°
Sites, in units of the cell vectors:
Be  0.0000  0.0000  0.0000
Be  0.1244  0.6252  0.6252
Be  0.6252  0.1244  0.6252
Be  0.6252  0.6252  0.1244
Be  0.6252  0.6252  0.6252
Pd  0.2500  0.2500  0.2500

Spin magnetization (μB/cell): 0.00
E_tot (eV for the cell shown): -27.95
Formation enthalpy at 0 K (kJ per mole of atoms): -31.95

(17)
DFT (GGA-PBEsol) results for crystalline BePdPt at its relaxed geometry.

a = 2.7339 Å, b = 2.7339 Å, c = 9.8614 Å
α = 90.00°, β = 90.00°, γ = 90.00°
Sites, in units of the cell vectors:
Be  0.0000  0.0000  0.0000
Be  0.5000  0.5000  0.5000
Pd  0.0000  0.0000  0.3526
Pd  0.5000  0.5000  0.8526
Pt  0.0000  0.0000  0.6410
Pt  0.5000  0.5000  0.1410

Spin magnetization (μB/cell): 0.00
E_tot (eV for the cell shown): -37.25
Formation enthalpy at 0 K (kJ per mole of atoms): -54.69

(18)
DFT (GGA-PBEsol) results for crystalline Be2PdPt at its relaxed geometry.

a = 5.6127 Å, b = 5.6127 Å, c = 5.6127 Å
α = 90.00°, β = 90.00°, γ = 90.00°
Sites, in units of the cell vectors:
Be  0.2500  0.2500  0.2500
Be  0.2500  0.2500  0.7500
Be  0.2500  0.7500  0.2500
Be  0.2500  0.7500  0.7500
Be  0.7500  0.2500  0.2500
Be  0.7500  0.2500  0.7500
Be  0.7500  0.7500  0.2500
Be  0.7500  0.7500  0.7500
Pd  0.0000  0.0000  0.0000
Pd  0.0000  0.5000  0.5000
Pd  0.5000  0.0000  0.5000
Pd  0.5000  0.5000  0.0000
Pt  0.0000  0.0000  0.5000
Pt  0.0000  0.5000  0.0000
Pt  0.5000  0.0000  0.0000
Pt  0.5000  0.5000  0.5000

Spin magnetization (μB/cell): 0.00
E_tot (eV for the cell shown): -95.09
Formation enthalpy at 0 K (kJ per mole of atoms): -68.73

(19)
DFT (GGA-PBEsol) results for crystalline BePdPtRh2 at its relaxed geometry.

a = 4.6560 Å, b = 4.6560 Å, c = 3.8637 Å
α = 90.00°, β = 90.00°, γ = 90.00°
Sites, in units of the cell vectors:
Be  0.0000  0.0000  0.0000
Pd  0.0000  0.0000  0.5000
Pt  0.5000  0.5000  0.0000
Rh  0.0000  0.5000  0.5000
Rh  0.5000  0.0000  0.5000

Spin magnetization (μB/cell): 1.09
E_tot (eV for the cell shown): -26.44
Formation enthalpy at 0 K (kJ per mole of atoms): 130.39

(20)
DFT (GGA-PBEsol) results for crystalline BeTlPdPt2 at its relaxed geometry.

a = 4.8691 Å, b = 4.8691 Å, c = 4.8917 Å
α = 90.00°, β = 90.00°, γ = 90.00°
Sites, in units of the cell vectors:
Be  0.0000  0.0000  0.0000
Tl  0.5000  0.5000  0.0000
Pd  0.5000  0.5000  0.5000
Pt  0.0000  0.5000  0.5000
Pt  0.5000  0.0000  0.5000

Spin magnetization (μB/cell): 0.00
E_tot (eV for the cell shown): -19.38
Formation enthalpy at 0 K (kJ per mole of atoms): 137.78